i) First-principles (GGA-PBE) data for an optimized crystal structure of Sr3Sn4Pd2, as listed in Alexandria via LeMat-Bulk.

Lattice parameters (Å, degrees): 6.3184 6.3184 9.4264 110.36 110.36 45.22
Fractional positions:
Sr: 0.0000 0.0000 0.0000
Sr: 0.3212 0.3212 0.3688
Sr: 0.6788 0.6788 0.6312
Sn: 0.0213 0.0213 0.3499
Sn: 0.2615 0.2615 0.9054
Sn: 0.7385 0.7385 0.0946
Sn: 0.9787 0.9787 0.6501
Pd: 0.4060 0.4060 0.7321
Pd: 0.5940 0.5940 0.2679

Total magnetic moment ... 0.00 μB/atom

=====

ii) First-principles (GGA-PBE) data for an optimized crystal structure of Sr3Sn4Pd2, as listed in Alexandria via LeMat-Bulk.

Lattice parameters (Å, degrees): 6.5023 6.5023 9.5783 99.39 99.39 40.93
Fractional positions:
Sr: 0.0000 0.0000 0.0000
Sr: 0.3773 0.3773 0.6094
Sr: 0.6227 0.6227 0.3906
Sn: 0.0946 0.0946 0.6597
Sn: 0.2939 0.2939 0.9160
Sn: 0.7061 0.7061 0.0840
Sn: 0.9054 0.9054 0.3403
Pd: 0.3198 0.3198 0.2079
Pd: 0.6802 0.6802 0.7921

Total magnetic moment ... 0.00 μB/atom

=====

i) (4.0 kJ/mol of atoms below the next structure)

=====

i) First-principles (GGA-PBE) data for an optimized crystal structure of SrSnPd3, as listed in Alexandria via LeMat-Bulk.

Lattice parameters (Å, degrees): 5.1611 5.1611 5.1611 90.00 90.00 90.00
Fractional positions:
Sr: 0.0000 0.0000 0.0000
Sn: 0.5000 0.5000 0.5000
Pd: 0.0000 0.0000 0.5000
Pd: 0.0000 0.5000 0.0000
Pd: 0.5000 0.0000 0.0000

Total magnetic moment ... 0.00 μB/atom

=====

ii) First-principles (GGA-PBE) data for an optimized crystal structure of SrSnPd3, as listed in Alexandria via LeMat-Bulk.

Lattice parameters (Å, degrees): 6.9921 6.9921 6.9921 132.01 98.84 100.20
Fractional positions:
Sr: 0.2829 0.0329 0.2500
Sr: 0.7171 0.9671 0.7500
Sn: 0.0000 0.5000 0.5000
Sn: 0.5000 0.5000 0.0000
Pd: 0.0918 0.3418 0.7500
Pd: 0.2444 0.0000 0.7444
Pd: 0.2444 0.5000 0.2444
Pd: 0.7556 0.0000 0.2556
Pd: 0.7556 0.5000 0.7556
Pd: 0.9082 0.6582 0.2500

Total magnetic moment ... 0.00 μB/atom

=====

iii) First-principles (GGA-PBE) data for an optimized crystal structure of SrSnPd3, as listed in Alexandria via LeMat-Bulk.

Lattice parameters (Å, degrees): 5.0389 5.0389 5.0389 90.00 90.00 90.00
Fractional positions:
Sr: 0.0000 0.0000 0.0000
Sn: 0.5000 0.5000 0.5000
Pd: 0.0000 0.5000 0.5000
Pd: 0.5000 0.0000 0.5000
Pd: 0.5000 0.5000 0.0000

Total magnetic moment ... 0.00 μB/atom

=====

iv) First-principles (GGA-PBE) data for an optimized crystal structure of SrSnPd3, as listed in Alexandria via LeMat-Bulk.

Lattice parameters (Å, degrees): 5.8818 7.4931 5.3967 90.00 90.00 90.00
Fractional positions:
Sr: 0.0000 0.0000 0.0000
Sr: 0.5000 0.5000 0.0000
Sn: 0.0000 0.5000 0.5000
Sn: 0.5000 0.0000 0.5000
Pd: 0.0000 0.5000 0.0000
Pd: 0.1126 0.1684 0.5000
Pd: 0.3874 0.6684 0.5000
Pd: 0.5000 0.0000 0.0000
Pd: 0.6126 0.3316 0.5000
Pd: 0.8874 0.8316 0.5000

Total magnetic moment ... 0.00 μB/atom

=====

ii) (21.6 kJ/mol of atoms below the next structure)